DFT (PBE with a Hubbard U) results for a relaxed structure of CsFeI2F.

Structure (POSCAR):
```
CsFeI2F
1.0
6.167 0.000 0.000
0.000 6.167 0.000
0.000 0.000 4.156
Cs I Fe F
1 2 1 1
Direct
0.500 0.500 0.500
0.000 0.500 0.000
0.500 0.000 0.000
0.000 0.000 0.000
0.000 0.000 0.500
```

Space-group type   No. 123
Total magnetization   3.997 Bohr magnetons per cell
E   -3.657 eV per atom